Entry from Alexandria: Sc3Ga4Rh2 after structural relaxation (PBE).

Cell: 5.180 5.180 8.052 Å, 103.85 103.85 49.60°
Positions (direct):
Sc 0.000 0.000 0.000
Sc 0.378 0.378 0.620
Sc 0.622 0.622 0.380
Ga 0.081 0.081 0.657
Ga 0.313 0.313 0.945
Ga 0.687 0.687 0.055
Ga 0.919 0.919 0.343
Rh 0.272 0.272 0.252
Rh 0.728 0.728 0.748

* energy of formation from the pure elements: -0.710 eV per atom
* E above lowest polymorph: 77 meV per atom

Entry from Alexandria: La6Os2Rh after structural relaxation (PBE).

Cell: 7.154 7.154 6.647 Å, 90.00 90.00 120.00°
Positions (direct):
La 0.000 0.336 0.239
La 0.000 0.664 0.761
La 0.336 0.000 0.239
La 0.336 0.336 0.761
La 0.664 0.000 0.761
La 0.664 0.664 0.239
Os 0.333 0.667 0.000
Os 0.667 0.333 0.000
Rh 0.000 0.000 0.500

* energy of formation from the pure elements: -0.274 eV per atom

Entry from Alexandria: HfMg3Sb after structural relaxation (PBE).

Cell: 5.273 5.273 5.273 Å, 90.00 90.00 90.00°
Positions (direct):
Hf 0.000 0.000 0.000
Mg 0.000 0.500 0.500
Mg 0.500 0.000 0.500
Mg 0.500 0.500 0.000
Sb 0.500 0.500 0.500

* formation energy from raw total energies: 4.01 eV/f.u.
* E above lowest polymorph: 0 meV per atom

Entry from Alexandria: BaNbIn2Ge after structural relaxation (PBE).

Cell: 5.465 5.465 5.729 Å, 90.00 90.00 90.00°
Positions (direct):
Ba 0.000 0.000 0.000
Nb 0.000 0.000 0.500
In 0.000 0.500 0.500
In 0.500 0.000 0.500
Ge 0.500 0.500 0.000

* energy of formation from the pure elements: 0.732 eV per atom

Entry from Alexandria: Mn2FeCuC after structural relaxation (PBE).

Cell: 3.883 3.883 3.731 Å, 90.00 90.00 90.00°
Positions (direct):
Mn 0.000 0.500 0.000
Mn 0.500 0.000 0.000
Fe 0.000 0.000 0.500
Cu 0.500 0.500 0.500
C 0.000 0.000 0.000

* energy of formation from the pure elements: 0.093 eV per atom

Entry from Alexandria: SrMg2AlCu after structural relaxation (PBE).

Cell: 5.016 5.016 4.788 Å, 90.00 90.00 90.00°
Positions (direct):
Sr 0.000 0.000 0.000
Mg 0.000 0.500 0.500
Mg 0.500 0.000 0.500
Al 0.500 0.500 0.000
Cu 0.500 0.500 0.500

* energy of formation from the pure elements: -0.053 eV per atom

Entry from Alexandria: Tb4SmAl3 after structural relaxation (PBE).

Cell: 4.824 4.824 8.879 Å, 90.00 90.00 90.00°
Positions (direct):
Tb 0.000 0.500 0.225
Tb 0.000 0.500 0.775
Tb 0.500 0.000 0.225
Tb 0.500 0.000 0.775
Sm 0.000 0.000 0.500
Al 0.000 0.000 0.000
Al 0.500 0.500 0.000
Al 0.500 0.500 0.500

* energy of formation from the pure elements: -0.276 eV per atom
* E above lowest polymorph: 0 meV per atom

Entry from Alexandria: LaHf2Ta2 after structural relaxation (PBE).

Cell: 7.658 7.658 7.658 Å, 148.69 148.69 44.87°
Positions (direct):
La 0.000 0.000 0.000
Hf 0.393 0.393 0.000
Hf 0.607 0.607 0.000
Ta 0.250 0.750 0.500
Ta 0.750 0.250 0.500

* energy of formation from the pure elements: 0.444 eV per atom
* E above lowest polymorph: 119 meV per atom

Entry from Alexandria: BaAg2Bi2 after structural relaxation (PBE).

Cell: 7.277 7.277 7.277 Å, 140.60 140.60 56.94°
Positions (direct):
Ba 0.000 0.000 0.000
Ag 0.250 0.750 0.500
Ag 0.750 0.250 0.500
Bi 0.376 0.376 0.000
Bi 0.624 0.624 0.000

* energy of formation from the pure elements: -0.359 eV per atom

Entry from Alexandria: KTi2F6 after structural relaxation (PBE).

Cell: 5.140 5.140 6.297 Å, 90.00 90.00 120.00°
Positions (direct):
K 0.000 0.000 0.000
Ti 0.333 0.667 0.500
Ti 0.667 0.333 0.500
F 0.000 0.350 0.691
F 0.000 0.650 0.309
F 0.350 0.000 0.691
F 0.350 0.350 0.309
F 0.650 0.000 0.309
F 0.650 0.650 0.691

* formation energy from raw total energies: -27.77 eV/f.u.

Entry from Alexandria: HfAlAu after structural relaxation (PBE).

Cell: 6.091 6.091 6.091 Å, 150.65 150.65 41.99°
Positions (direct):
Hf 0.000 0.000 0.000
Al 0.669 0.669 0.000
Au 0.318 0.318 0.000

* energy of formation from the pure elements: -0.455 eV per atom

Entry from Alexandria: YCd2 after structural relaxation (PBE).

Cell: 6.409 4.977 9.240 Å, 90.00 90.00 90.00°
Positions (direct):
Y 0.180 0.250 0.082
Y 0.320 0.750 0.582
Y 0.680 0.250 0.418
Y 0.820 0.750 0.918
Cd 0.035 0.250 0.736
Cd 0.175 0.250 0.413
Cd 0.325 0.750 0.913
Cd 0.465 0.750 0.236
Cd 0.535 0.250 0.764
Cd 0.675 0.250 0.087
Cd 0.825 0.750 0.587
Cd 0.965 0.750 0.264

* energy of formation from the pure elements: -0.306 eV per atom

Entry from Alexandria: SnSeN2F after structural relaxation (PBE).

Cell: 4.692 4.692 4.015 Å, 90.00 90.00 90.00°
Positions (direct):
Sn 0.000 0.000 0.000
Se 0.500 0.500 0.000
N 0.000 0.500 0.500
N 0.500 0.000 0.500
F 0.500 0.500 0.500

* formation energy from raw total energies: 8.34 eV/f.u.
* E above lowest polymorph: 1001 meV per atom

Entry from Alexandria: Be16Mo2H after structural relaxation (PBE).

Cell: 5.490 5.490 5.490 Å, 83.45 83.45 83.45°
Positions (direct):
Be 0.065 0.065 0.065
Be 0.153 0.459 0.846
Be 0.153 0.846 0.459
Be 0.155 0.155 0.652
Be 0.155 0.652 0.155
Be 0.315 0.807 0.807
Be 0.459 0.153 0.846
Be 0.459 0.846 0.153
Be 0.505 0.505 0.990
Be 0.505 0.990 0.505
Be 0.652 0.155 0.155
Be 0.807 0.315 0.807
Be 0.807 0.807 0.315
Be 0.846 0.153 0.459
Be 0.846 0.459 0.153
Be 0.990 0.505 0.505
Mo 0.487 0.487 0.487
Mo 0.817 0.817 0.817
H 0.322 0.322 0.322

* raw total energy: -4.528 eV/atom

Entry from Alexandria: Pr2Er6Tm3Pb after structural relaxation (PBE).

Cell: 6.064 6.064 11.700 Å, 94.97 94.97 120.02°
Positions (direct):
Pr 0.166 0.834 0.000
Pr 0.834 0.166 0.000
Er 0.089 0.416 0.747
Er 0.257 0.257 0.254
Er 0.416 0.089 0.747
Er 0.584 0.911 0.253
Er 0.743 0.743 0.746
Er 0.911 0.584 0.253
Tm 0.000 0.000 0.500
Tm 0.333 0.667 0.500
Tm 0.667 0.333 0.500
Pb 0.500 0.500 0.000

* energy of formation from the pure elements: -0.064 eV per atom

Entry from Alexandria: K2TlP2O7 after structural relaxation (PBE).

Cell: 7.955 7.955 7.955 Å, 43.04 43.04 43.04°
Positions (direct):
K 0.223 0.223 0.223
K 0.777 0.777 0.777
Tl 0.000 0.000 0.000
P 0.425 0.425 0.425
P 0.575 0.575 0.575
O 0.212 0.315 0.698
O 0.302 0.685 0.788
O 0.315 0.698 0.212
O 0.500 0.500 0.500
O 0.685 0.788 0.302
O 0.698 0.212 0.315
O 0.788 0.302 0.685

* formation energy from raw total energies: -22.97 eV/f.u.

Entry from Alexandria: TaTeP after structural relaxation (PBE).

Cell: 4.451 4.451 4.451 Å, 60.00 60.00 60.00°
Positions (direct):
Ta 0.000 0.000 0.000
Te 0.500 0.500 0.500
P 0.750 0.750 0.750

* formation energy from raw total energies: 1.51 eV/f.u.
* E above lowest polymorph: 819 meV per atom

Entry from Alexandria: Ce2AlZnPt6 after structural relaxation (PBE).

Cell: 8.438 8.438 8.438 Å, 39.11 39.11 39.11°
Positions (direct):
Ce 0.207 0.207 0.207
Ce 0.793 0.793 0.793
Al 0.500 0.500 0.500
Zn 0.000 0.000 0.000
Pt 0.244 0.748 0.748
Pt 0.252 0.252 0.756
Pt 0.252 0.756 0.252
Pt 0.748 0.244 0.748
Pt 0.748 0.748 0.244
Pt 0.756 0.252 0.252

* energy of formation from the pure elements: -0.786 eV per atom

Entry from Alexandria: Dy4Er7Pu after structural relaxation (PBE).

Cell: 6.438 8.314 8.500 Å, 106.43 111.17 105.96°
Positions (direct):
Dy 0.000 0.000 0.000
Dy 0.008 0.810 0.299
Dy 0.608 0.351 0.496
Dy 0.626 0.179 0.817
Er 0.040 0.399 0.317
Er 0.047 0.185 0.642
Er 0.140 0.780 0.692
Er 0.455 0.397 0.111
Er 0.530 0.597 0.832
Er 0.560 0.978 0.159
Er 0.566 0.771 0.486
Pu 0.081 0.577 0.965

* energy of formation from the pure elements: 0.097 eV per atom

Entry from Alexandria: KZnIn after structural relaxation (PBE).

Cell: 4.511 6.832 6.865 Å, 92.76 109.10 109.24°
Positions (direct):
K 0.219 0.300 0.139
K 0.781 0.700 0.861
Zn 0.063 0.681 0.443
Zn 0.937 0.319 0.557
In 0.388 0.104 0.673
In 0.612 0.896 0.327

* energy of formation from the pure elements: -0.051 eV per atom
* E above lowest polymorph: 0 meV per atom

Entry from Alexandria: Ba2CoTcH after structural relaxation (PBE).

Cell: 5.634 5.634 3.446 Å, 90.00 90.00 90.00°
Positions (direct):
Ba 0.000 0.500 0.000
Ba 0.500 0.000 0.000
Co 0.000 0.000 0.500
Tc 0.500 0.500 0.500
H 0.000 0.000 0.000

* raw total energy: -4.194 eV/atom

Entry from Alexandria: ZrGaH after structural relaxation (PBE).

Cell: 3.312 3.312 8.127 Å, 90.00 90.00 107.98°
Positions (direct):
Zr 0.091 0.909 0.750
Zr 0.909 0.091 0.250
Ga 0.500 0.500 0.000
Ga 0.500 0.500 0.500
H 0.277 0.723 0.250
H 0.723 0.277 0.750

* E above lowest polymorph: 180 meV per atom

Entry from Alexandria: Dy2TlZn after structural relaxation (PBE).

Cell: 9.432 9.432 9.432 Å, 22.60 22.60 22.60°
Positions (direct):
Dy 0.244 0.244 0.244
Dy 0.756 0.756 0.756
Tl 0.000 0.000 0.000
Zn 0.500 0.500 0.500

* energy of formation from the pure elements: -0.199 eV per atom

Entry from Alexandria: KLi2Cu after structural relaxation (PBE).

Cell: 9.326 9.326 9.326 Å, 145.62 145.62 49.41°
Positions (direct):
K 0.000 0.000 0.000
K 0.750 0.250 0.500
Li 0.374 0.625 0.249
Li 0.375 0.624 0.749
Li 0.376 0.125 0.751
Li 0.875 0.626 0.251
Cu 0.250 0.750 0.500
Cu 0.500 0.500 0.000

* energy of formation from the pure elements: 0.327 eV per atom
* E above lowest polymorph: 160 meV per atom

Entry from Alexandria: AgHg2Ru after structural relaxation (PBE).

Cell: 5.650 5.650 5.650 Å, 148.02 126.33 63.85°
Positions (direct):
Ag 0.000 0.000 0.000
Hg 0.257 0.757 0.500
Hg 0.743 0.243 0.500
Ru 0.500 0.500 0.000

* energy of formation from the pure elements: 0.525 eV per atom
* E above lowest polymorph: 140 meV per atom

| no. | mass density (Mg/m³) | magnetic moment (μB/f.u.) |
| --- | --- | --- |
| 1 | 6.5 | 0.00 |
| 2 | 7.4 | 0.00 |
| 3 | 4.2 | 0.00 |
| 4 | 5.2 | 0.06 |
| 5 | 7.1 | 6.99 |
| 6 | 3.1 | 0.00 |
| 7 | 7.0 | 0.00 |
| 8 | 11.8 | 0.00 |
| 9 | 8.3 | 0.00 |
| 10 | 2.9 | 3.00 |
| 11 | 12.3 | 0.00 |
| 12 | 7.1 | 0.00 |
| 13 | 4.6 | 4.98 |
| 14 | 3.4 | 0.00 |
| 15 | 9.0 | 0.00 |
| 16 | 3.6 | 0.00 |
| 17 | 9.0 | 0.00 |
| 18 | 11.9 | 1.33 |
| 19 | 9.3 | 5.96 |
| 20 | 3.9 | 0.00 |
| 21 | 6.6 | 0.93 |
| 22 | 6.3 | 0.00 |
| 23 | 9.1 | 0.00 |
| 24 | 1.5 | 0.00 |
| 25 | 13.3 | 1.07 |